<w>
MgV6H6O18 | GGA+U | optimized geometry

Summary:
Magnetization = 0.065 μB per atom
Space-group type = P1 (1)

Lattice parameters (Å, degrees): 5.185 8.076 9.211 91.09 90.73 106.79
Positions (direct):
Mg1 0.000 0.000 0.000
V1 0.016 0.281 0.671
V2 0.277 0.415 0.170
V3 0.459 0.181 0.480
V4 0.460 0.212 0.845
V5 0.823 0.529 0.377
V6 0.828 0.549 0.970
H1 0.539 0.939 0.078
H2 0.565 0.937 0.668
H3 0.654 0.971 0.239
H4 0.659 0.782 0.764
H5 0.662 0.769 0.585
H6 0.684 0.726 0.179
O1 0.058 0.135 0.812
O2 0.064 0.218 0.134
O3 0.113 0.148 0.521
O4 0.140 0.565 0.040
O5 0.143 0.543 0.318
O6 0.319 0.419 0.696
O7 0.410 0.038 0.958
O8 0.485 0.018 0.379
O9 0.492 0.353 0.334
O10 0.497 0.386 0.999
O11 0.563 0.114 0.664
O12 0.565 0.805 0.672
O13 0.680 0.915 0.144
O14 0.698 0.604 0.180
O15 0.811 0.363 0.524
O16 0.816 0.390 0.815
O17 0.819 0.705 0.469
O18 0.834 0.750 0.908

<x>
MgV6H6O18 | GGA+U | optimized geometry

Summary:
Magnetization = 0.065 μB per atom
Space-group type = P1 (1)

Lattice parameters (Å, degrees): 5.281 8.011 9.467 90.24 90.82 108.54
Positions (direct):
Mg1 0.000 0.000 0.000
V1 0.001 0.327 0.679
V2 0.296 0.414 0.172
V3 0.452 0.192 0.492
V4 0.454 0.209 0.853
V5 0.831 0.529 0.358
V6 0.837 0.554 0.991
H1 0.483 0.672 0.675
H2 0.526 0.951 0.338
H3 0.543 0.958 0.101
H4 0.756 0.759 0.579
H5 0.762 0.770 0.761
H6 0.791 0.066 0.193
O1 0.071 0.212 0.136
O2 0.106 0.172 0.822
O3 0.140 0.189 0.537
O4 0.149 0.527 0.316
O5 0.150 0.561 0.044
O6 0.261 0.509 0.685
O7 0.417 0.033 0.960
O8 0.423 0.987 0.412
O9 0.489 0.378 0.999
O10 0.495 0.333 0.327
O11 0.556 0.144 0.680
O12 0.660 0.778 0.671
O13 0.683 0.943 0.166
O14 0.714 0.582 0.175
O15 0.782 0.377 0.522
O16 0.797 0.399 0.830
O17 0.848 0.713 0.444
O18 0.860 0.757 0.918

It turns out <w> is the most stable, with the second structure 17 meV per atom higher.